[1]
Dy3CdOs: optimized geometry, PBE.

Unit cell a=4.0230 b=8.3995 c=8.5195 alpha=109.89 beta=90.00 gamma=90.00
Last column: nearest neighbours and their distance in Å.
Element x y z (fractional)
Dy 0.7500 0.6811 0.4054  3 Os 2.90-3.13
Dy 0.2500 0.3189 0.5946  3 Os 2.90-3.13
Dy 0.2500 0.6808 0.0687  1 Os 2.89, 2 Cd 3.14
Dy 0.7500 0.0418 0.2267  3 Os 2.86-3.09
Dy 0.2500 0.9582 0.7733  3 Os 2.86-3.09
Dy 0.7500 0.3192 0.9313  1 Os 2.89, 2 Cd 3.14
Os 0.2500 0.9280 0.4021  2 Os 2.63, 5 Dy 2.86-2.90
Os 0.7500 0.0720 0.5979  2 Os 2.63, 5 Dy 2.86-2.90
Cd 0.2500 0.3536 0.2243  8 Dy 3.14-3.43
Cd 0.7500 0.6464 0.7757  8 Dy 3.14-3.43

## Properties
- DFT formation energy (eV per atom) = -0.188
- crystal system = monoclinic
- energy above the lowest structure with this stoichiometry (eV per formula unit) = 0.538

***

[2]
Ba2Sr3Zn2: optimized geometry, PBE.

Unit cell a=4.0874 b=4.0555 c=18.2799 alpha=90.00 beta=96.42 gamma=90.00
Last column: nearest neighbours and their distance in Å.
Element x y z (fractional)
Sr 0.0000 0.0000 0.0000  12 Sr 4.06-4.33
Sr 0.5889 0.5000 0.1779  4 Zn 3.40
Sr 0.4111 0.5000 0.8221  4 Zn 3.40
Ba 0.3058 0.5000 0.6116  4 Zn 3.52, 1 Sr 3.82
Ba 0.6942 0.5000 0.3884  4 Zn 3.52, 1 Sr 3.82
Zn 0.8615 0.0000 0.7229  4 Sr 3.40, 4 Ba 3.52
Zn 0.1385 0.0000 0.2771  4 Sr 3.40, 4 Ba 3.52

## Properties
- DFT formation energy (eV per atom) = -0.092
- crystal system = orthorhombic

***

[3]
La3TlRu: optimized geometry, PBE.

Unit cell a=6.3108 b=6.1060 c=7.8422 alpha=90.00 beta=90.21 gamma=90.00
Last column: nearest neighbours and their distance in Å.
Element x y z (fractional)
La 0.3882 0.2700 0.5398  2 Ru 2.90
La 0.3870 0.2700 0.9754  2 Ru 2.90
La 0.7331 0.7700 0.9766  2 Ru 2.90
La 0.9149 0.2700 0.2603  2 Ru 2.71
La 0.2064 0.7700 0.2562  2 Ru 2.71
La 0.7343 0.7700 0.5410  2 Ru 2.90
Ru 0.5607 0.0199 0.2582  6 La 2.71-2.90
Ru 0.5606 0.5199 0.2582  6 La 2.71-2.90
Tl 0.2362 0.7699 0.7566  10 La 3.57-3.93, 2 Tl 3.77
Tl 0.8850 0.2700 0.7600  10 La 3.57-3.93, 2 Tl 3.77

## Properties
- DFT formation energy (eV per atom) = -0.332
- crystal system = monoclinic
- energy above the lowest structure with this stoichiometry (eV per formula unit) = 0.284

***

[4]
Na3Ag: optimized geometry, PBE.

Unit cell a=4.7849 b=4.7948 c=4.7978 alpha=90.00 beta=90.00 gamma=90.00
Last column: nearest neighbours and their distance in Å.
Element x y z (fractional)
Na 0.0000 0.5000 0.5834  8 Na 3.39, 4 Ag 3.39
Na 0.0000 0.0000 0.0839  4 Ag 3.39, 8 Na 3.39
Na 0.5000 0.5000 0.0828  8 Na 3.39, 4 Ag 3.39
Ag 0.5000 0.0000 0.5833  12 Na 3.39

## Properties
- DFT formation energy (eV per atom) = 0.024
- crystal system = tetragonal

***

[5]
Li4Ag2Au3: optimized geometry, PBE.

Unit cell a=4.0270 b=6.3166 c=6.4391 alpha=107.39 beta=108.22 gamma=90.00
Last column: nearest neighbours and their distance in Å.
Element x y z (fractional)
Ag 0.6676 0.0090 0.3352  5 Li 2.76-2.84, 5 Au 2.86-2.97, 2 Ag 2.88
Ag 0.3324 0.9910 0.6648  5 Li 2.76-2.84, 5 Au 2.86-2.97, 2 Ag 2.88
Li 0.7775 0.6736 0.5550  4 Au 2.74-2.85, 3 Ag 2.77-2.84, 5 Li 2.90-3.03
Li 0.2225 0.3264 0.4450  4 Au 2.74-2.85, 3 Ag 2.77-2.84, 5 Li 2.90-3.03
Li 0.4568 0.6789 0.9136  2 Ag 2.76-2.84, 4 Li 2.78-3.03, 6 Au 2.79-2.84
Li 0.5432 0.3211 0.0864  2 Ag 2.76-2.84, 4 Li 2.78-3.03, 6 Au 2.79-2.84
Au 0.8852 0.3540 0.7703  7 Li 2.74-2.84, 2 Au 2.83-2.99, 3 Ag 2.86-2.97
Au 0.1148 0.6460 0.2297  7 Li 2.74-2.84, 2 Au 2.83-2.99, 3 Ag 2.86-2.97
Au 0.0000 0.0000 0.0000  6 Li 2.79-2.85, 4 Ag 2.86, 2 Au 2.99

## Properties
- DFT formation energy (eV per atom) = -0.374
- crystal system = monoclinic
- energy above the lowest structure with this stoichiometry (eV per formula unit) = 0.088

***

[6]
SbMo2Ir: optimized geometry, PBE.

Unit cell a=8.7922 b=8.7922 c=8.7922 alpha=19.92 beta=19.92 gamma=19.92
Last column: nearest neighbours and their distance in Å.
Element x y z (fractional)
Mo 0.9987 0.9987 0.9987  3 Mo 2.66, 3 Ir 2.73
Mo 0.2549 0.2549 0.2549  3 Mo 2.66, 3 Sb 2.87
Ir 0.7460 0.7460 0.7460  3 Mo 2.73, 3 Sb 2.87, 6 Ir 3.04
Sb 0.5004 0.5004 0.5004  3 Ir 2.87, 3 Mo 2.87, 6 Sb 3.04

## Properties
- crystal system = trigonal
- ΔE_f (raw) (eV per atom) = 0.312

***

[7]
HgSeCl: optimized geometry, PBE.

Unit cell a=4.3834 b=5.8851 c=7.4750 alpha=111.65 beta=105.06 gamma=94.84
Last column: nearest neighbours and their distance in Å.
Element x y z (fractional)
Se 0.5489 0.8923 0.2953  1 Se 2.40
Se 0.7760 0.5347 0.2954  1 Se 2.40
Hg 0.3114 0.8624 0.5932  2 Se 2.75, 2 Cl 2.79
Hg 0.0136 0.5645 0.9975  2 Se 2.75, 2 Cl 2.79
Cl 0.9421 0.9933 0.8549  4 Hg 2.79-3.09
Cl 0.3826 0.4337 0.7358  4 Hg 2.79-3.09

## Properties
- crystal system = monoclinic
- energy above the lowest structure with this stoichiometry (eV per formula unit) = 0.354
- ΔE_f (raw) (eV per atom) = -0.244

***

[8]
Hf2VCr2: optimized geometry, PBE.

Unit cell a=6.0752 b=6.0752 c=4.4802 alpha=90.00 beta=90.00 gamma=90.00
Last column: nearest neighbours and their distance in Å.
Element x y z (fractional)
Hf 0.6767 0.8233 0.5000  6 Cr 2.79-2.93, 1 Hf 3.04
Hf 0.1767 0.6767 0.5000  6 Cr 2.79-2.93, 1 Hf 3.04
Hf 0.3233 0.1767 0.5000  6 Cr 2.79-2.93, 1 Hf 3.04
Hf 0.8233 0.3233 0.5000  6 Cr 2.79-2.93, 1 Hf 3.04
Cr 0.6302 0.1302 0.0000  1 Cr 2.24, 2 V 2.38
Cr 0.1302 0.3698 0.0000  1 Cr 2.24, 2 V 2.38
Cr 0.8698 0.6302 0.0000  1 Cr 2.24, 2 V 2.38
Cr 0.3698 0.8698 0.0000  1 Cr 2.24, 2 V 2.38
V 0.0000 0.0000 0.0000  4 Cr 2.38
V 0.5000 0.5000 0.0000  4 Cr 2.38

## Properties
- DFT formation energy (eV per atom) = 0.189
- crystal system = tetragonal

***

[9]
CuBiP: optimized geometry, PBE.

Unit cell a=3.7970 b=7.0966 c=8.9879 alpha=90.00 beta=90.00 gamma=90.00
Last column: nearest neighbours and their distance in Å.
Element x y z (fractional)
P 0.2500 0.6249 0.7935  3 Cu 2.29-2.33
P 0.2500 0.8751 0.2935  3 Cu 2.29-2.33
P 0.7500 0.3751 0.2065  3 Cu 2.29-2.33
P 0.7500 0.1249 0.7065  3 Cu 2.29-2.33
Cu 0.2500 0.5657 0.2210  3 P 2.29-2.33
Cu 0.7500 0.0657 0.2790  3 P 2.29-2.33
Cu 0.7500 0.4343 0.7790  3 P 2.29-2.33
Cu 0.2500 0.9343 0.7210  3 P 2.29-2.33
Bi 0.7500 0.7801 0.0242  4 Cu 3.01-3.30, 5 P 3.02-3.31
Bi 0.2500 0.2801 0.4758  4 Cu 3.01-3.30, 5 P 3.02-3.31
Bi 0.2500 0.2199 0.9758  4 Cu 3.01-3.30, 5 P 3.02-3.31
Bi 0.7500 0.7199 0.5242  4 Cu 3.01-3.30, 5 P 3.02-3.31

## Properties
- DFT formation energy (eV per atom) = 0.146
- crystal system = orthorhombic
- energy above the lowest structure with this stoichiometry (eV per formula unit) = 0.058

***

[10]
Cs2RbMnI6: optimized geometry, PBE.

Unit cell a=8.9775 b=8.2921 c=8.2921 alpha=120.00 beta=90.00 gamma=90.00
Last column: nearest neighbours and their distance in Å.
Element x y z (fractional)
Cs 0.8479 0.6667 0.3333  9 I 3.91-4.16
Cs 0.1521 0.3333 0.6667  9 I 3.91-4.16
I 0.1839 0.3209 0.1604  1 Mn 2.83
I 0.8161 0.1604 0.8396  1 Mn 2.83
I 0.8161 0.6791 0.8396  1 Mn 2.83
I 0.8161 0.1604 0.3209  1 Mn 2.83
I 0.1839 0.8396 0.6791  1 Mn 2.83
I 0.1839 0.8396 0.1604  1 Mn 2.83
Rb 0.5000 0.0000 0.0000  6 I 3.66
Mn 0.0000 0.0000 0.0000  6 I 2.83

## Properties
- crystal system = trigonal
- energy above the lowest structure with this stoichiometry (eV per formula unit) = 0.000
- ΔE_f (raw) (eV per atom) = -1.040

***

[11]
AuS2: optimized geometry, PBE.

Unit cell a=4.4893 b=3.1662 c=5.5056 alpha=90.00 beta=109.77 gamma=90.00
Last column: nearest neighbours and their distance in Å.
Element x y z (fractional)
Au 0.0000 0.0000 0.0000  2 S 2.33
S 0.1935 0.0000 0.6579  1 S 2.00
S 0.8065 0.0000 0.3421  1 S 2.00

## Properties
- crystal system = monoclinic
- ΔE_f (raw) (eV per atom) = 0.081

***

[12]
Cs2SrGe2: optimized geometry, PBE.

Unit cell a=8.3279 b=8.3279 c=6.3151 alpha=90.00 beta=90.00 gamma=90.00
Last column: nearest neighbours and their distance in Å.
Element x y z (fractional)
Cs 0.6829 0.1829 0.5000  6 Ge 4.00-4.06, 5 Cs 4.31, 4 Sr 4.39
Cs 0.3171 0.8171 0.5000  6 Ge 4.00-4.06, 5 Cs 4.31, 4 Sr 4.39
Cs 0.8171 0.6829 0.5000  6 Ge 4.00-4.06, 5 Cs 4.31, 4 Sr 4.39
Cs 0.1829 0.3171 0.5000  6 Ge 4.00-4.06, 5 Cs 4.31, 4 Sr 4.39
Ge 0.5999 0.9001 0.0000  1 Ge 2.35
Ge 0.9001 0.4001 0.0000  1 Ge 2.35
Ge 0.4001 0.0999 0.0000  1 Ge 2.35
Ge 0.0999 0.5999 0.0000  1 Ge 2.35
Sr 0.5000 0.5000 0.0000  4 Ge 3.43
Sr 0.0000 0.0000 0.0000  4 Ge 3.43

## Properties
- DFT formation energy (eV per atom) = -0.030
- crystal system = tetragonal
- energy above the lowest structure with this stoichiometry (eV per formula unit) = 0.000

***

[13]
ZrFeSb: optimized geometry, PBE.

Unit cell a=5.6698 b=5.6710 c=5.6710 alpha=146.39 beta=146.39 gamma=48.27
Last column: nearest neighbours and their distance in Å.
Element x y z (fractional)
Zr 0.6476 0.6476 0.0000  4 Fe 2.80, 1 Sb 3.01
Sb 0.3565 0.3565 0.0000  4 Fe 2.73, 1 Zr 3.01
Fe 0.9959 0.9958 0.0001  4 Sb 2.73, 4 Zr 2.80

## Properties
- crystal system = tetragonal
- ΔE_f (raw) (eV per atom) = -0.105

***

[14]
La2YAl9: optimized geometry, PBE.

Unit cell a=5.6807 b=5.6807 c=9.5137 alpha=72.63 beta=72.63 gamma=60.00
Last column: nearest neighbours and their distance in Å.
Element x y z (fractional)
La 0.8581 0.8581 0.4257  12 Al 3.28-3.37, 3 La 3.54
La 0.1419 0.1419 0.5743  12 Al 3.28-3.37, 3 La 3.54
Al 0.5000 0.5000 0.5000  6 Al 2.84
Al 0.5842 0.5842 0.7569  7 Al 2.71-2.89
Al 0.4158 0.9253 0.2431  7 Al 2.71-2.89
Al 0.5842 0.0747 0.7569  7 Al 2.71-2.89
Al 0.4158 0.4158 0.2431  7 Al 2.71-2.89
Al 0.0747 0.5842 0.7569  7 Al 2.71-2.89
Al 0.6651 0.6651 0.0048  6 Al 2.71-2.74
Al 0.3349 0.3349 0.9952  6 Al 2.71-2.74
Al 0.9253 0.4158 0.2431  7 Al 2.71-2.89
Y 0.0000 0.0000 0.0000  18 Al 3.28-3.58

## Properties
- DFT formation energy (eV per atom) = -0.353
- crystal system = trigonal

***

[15]
TbY2As: optimized geometry, PBE.

Unit cell a=3.8027 b=3.8027 c=10.5074 alpha=79.57 beta=79.57 gamma=60.00
Last column: nearest neighbours and their distance in Å.
Element x y z (fractional)
Tb 0.0000 0.0000 0.0000  2 Y 3.43, 6 Tb 3.80
Y 0.1111 0.1111 0.6667  3 As 2.78
Y 0.8889 0.8889 0.3333  3 As 2.78
As 0.5000 0.5000 0.5000  6 Y 2.78

## Properties
- DFT formation energy (eV per atom) = -0.405
- crystal system = trigonal

***

[16]
Ca2PmZn3: optimized geometry, PBE.

Unit cell a=3.6672 b=3.6672 c=11.0635 alpha=90.00 beta=90.00 gamma=90.00
Last column: nearest neighbours and their distance in Å.
Element x y z (fractional)
Zn 0.0000 0.0000 0.0000  8 Ca 3.18
Zn 0.0000 0.0000 0.6617  4 Pm 3.15, 4 Ca 3.22
Zn 0.0000 0.0000 0.3383  4 Pm 3.15, 4 Ca 3.22
Ca 0.5000 0.5000 0.1664  8 Zn 3.18-3.22
Ca 0.5000 0.5000 0.8336  8 Zn 3.18-3.22
Pm 0.5000 0.5000 0.5000  8 Zn 3.15

## Properties
- DFT formation energy (eV per atom) = -0.264
- crystal system = tetragonal
- energy above the lowest structure with this stoichiometry (eV per formula unit) = 0.090

***

[17]
SiAuCl2: optimized geometry, PBE.

Unit cell a=3.1368 b=3.1368 c=11.0972 alpha=90.00 beta=90.00 gamma=121.98
Last column: nearest neighbours and their distance in Å.
Element x y z (fractional)
Au 0.5000 0.5000 0.7500  6 Au 3.04-3.14
Si 0.5000 0.5000 0.2500  4 Cl 2.40
Cl 0.0000 0.0000 0.4176  2 Si 2.40
Cl 0.0000 0.0000 0.0824  2 Si 2.40

## Properties
- crystal system = orthorhombic
- energy above the lowest structure with this stoichiometry (eV per formula unit) = 2.156
- ΔE_f (raw) (eV per atom) = 0.141

***

[18]
Pu4HgAu2: optimized geometry, PBE.

Unit cell a=5.6319 b=5.6319 c=7.3904 alpha=112.40 beta=112.40 gamma=90.00
Last column: nearest neighbours and their distance in Å.
Element x y z (fractional)
Pu 0.5000 0.0000 0.0000  2 Hg 2.82, 2 Pu 3.11
Pu 0.2500 0.7500 0.5000  2 Pu 3.11, 4 Au 3.21
Pu 0.0000 0.5000 0.0000  2 Hg 2.82, 2 Pu 3.11
Pu 0.7500 0.2500 0.5000  2 Pu 3.11, 4 Au 3.21
Hg 0.0000 0.0000 0.0000  4 Pu 2.82
Au 0.6268 0.6268 0.2536  1 Au 3.16, 8 Pu 3.21-3.23
Au 0.3732 0.3732 0.7464  1 Au 3.16, 8 Pu 3.21-3.23

## Properties
- DFT formation energy (eV per atom) = 0.232
- crystal system = tetragonal

***

[19]
MgAgAs2: optimized geometry, PBE.

Unit cell a=2.9100 b=2.9100 c=9.5084 alpha=90.00 beta=90.00 gamma=93.77
Last column: nearest neighbours and their distance in Å.
Element x y z (fractional)
Mg 0.0000 0.0000 0.5087  4 As 2.80-2.90, 4 Mg 2.91, 4 Ag 2.91-3.01
As 0.0000 0.0000 0.9572  4 As 2.91, 4 Ag 2.92-3.01
As 0.5000 0.5000 0.3018  4 Mg 2.80-2.90, 4 As 2.91
Ag 0.5000 0.5000 0.7323  4 Ag 2.91, 4 Mg 2.91-3.01, 4 As 2.92-3.01

## Properties
- DFT formation energy (eV per atom) = 0.063
- crystal system = orthorhombic

***

[20]
Tb2GaBr: optimized geometry, PBE.

Unit cell a=4.1238 b=4.1238 c=7.8573 alpha=74.79 beta=74.79 gamma=60.00
Last column: nearest neighbours and their distance in Å.
Element x y z (fractional)
Tb 0.0708 0.0708 0.7876  3 Ga 2.84, 3 Br 3.17
Tb 0.2640 0.2640 0.2081  3 Ga 2.86
Ga 0.6682 0.6682 0.9955  6 Tb 2.84-2.86
Br 0.4971 0.4971 0.5088  6 Tb 3.17-3.28

## Properties
- crystal system = trigonal
- energy above the lowest structure with this stoichiometry (eV per formula unit) = 0.066
- ΔE_f (raw) (eV per atom) = -0.770